(1)
Ca4Zn: optimized geometry, PBE.

DOS at the Fermi energy = 5.654 states/eV/f.u.
Energy of formation from the pure elements = -96 meV/atom
Uncorrected energy = -1.9520 eV per atom
Offset from the most stable computed form = 0.0 meV per atom

a = 3.778 Å, b = 3.778 Å, c = 12.543 Å
α = 98.66°, β = 98.66°, γ = 90.00°
Element x y z (fractional)
Ca  0.572  0.572  0.144
Ca  0.191  0.191  0.382
Ca  0.809  0.809  0.618
Ca  0.428  0.428  0.856
Zn  0.000  0.000  0.000

(2)
ThGe2Ir5: optimized geometry, PBE.

DOS at the Fermi energy = 7.973 states/eV/f.u.
Energy of formation from the pure elements = -473 meV/atom
Uncorrected energy = -8.0931 eV per atom

a = 3.956 Å, b = 6.368 Å, c = 6.368 Å
α = 67.40°, β = 71.90°, γ = 71.90°
Element x y z (fractional)
Th  0.000  0.000  0.000
Ge  0.752  0.748  0.748
Ge  0.248  0.252  0.252
Ir  0.000  0.500  0.500
Ir  0.640  0.558  0.162
Ir  0.360  0.442  0.838
Ir  0.360  0.838  0.442
Ir  0.640  0.162  0.558

(3)
La3TeBr3: optimized geometry, PBE.

DOS at the Fermi energy = 3.959 states/eV/f.u.
Uncorrected energy = -4.8622 eV per atom

a = 10.758 Å, b = 10.758 Å, c = 10.758 Å
α = 109.47°, β = 109.47°, γ = 109.47°
Element x y z (fractional)
La  0.497  0.247  0.495
La  0.005  0.253  0.003
La  0.003  0.497  0.750
La  0.750  0.003  0.497
La  0.247  0.495  0.497
La  0.003  0.005  0.253
La  0.495  0.497  0.247
La  0.750  0.247  0.253
La  0.253  0.003  0.005
La  0.247  0.253  0.750
La  0.253  0.750  0.247
La  0.497  0.750  0.003
Te  0.500  0.000  0.250
Te  0.250  0.500  0.000
Te  0.250  0.250  0.250
Te  0.000  0.250  0.500
Br  0.994  0.988  0.744
Br  0.756  0.744  0.250
Br  0.744  0.994  0.988
Br  0.250  0.994  0.506
Br  0.744  0.250  0.756
Br  0.506  0.250  0.994
Br  0.250  0.756  0.744
Br  0.512  0.506  0.756
Br  0.994  0.506  0.250
Br  0.506  0.756  0.512
Br  0.756  0.512  0.506
Br  0.988  0.744  0.994

(4)
MgTeSe2: optimized geometry, PBE.

DOS at the Fermi energy = 1.983 states/eV/f.u.
Uncorrected energy = -3.3279 eV per atom
Offset from the most stable computed form = 81.3 meV per atom

a = 3.812 Å, b = 3.812 Å, c = 8.446 Å
α = 90.00°, β = 90.00°, γ = 90.00°
Element x y z (fractional)
Mg  0.500  0.500  0.936
Se  0.000  0.000  0.898
Se  0.500  0.500  0.286
Te  0.000  0.000  0.380

(5)
LaNd6In2: optimized geometry, PBE.

DOS at the Fermi energy = 10.820 states/eV/f.u.
Energy of formation from the pure elements = -218 meV/atom
Uncorrected energy = -4.5526 eV per atom
Offset from the most stable computed form = 0.0 meV per atom

a = 4.935 Å, b = 6.180 Å, c = 10.671 Å
α = 73.78°, β = 76.63°, γ = 66.47°
Element x y z (fractional)
La  0.000  0.000  0.000
Nd  0.671  0.547  0.111
Nd  0.329  0.453  0.889
Nd  0.329  0.792  0.551
Nd  0.010  0.655  0.325
Nd  0.990  0.345  0.675
Nd  0.671  0.208  0.449
In  0.336  0.107  0.220
In  0.664  0.893  0.780

(6)
CaCeGd2: optimized geometry, PBE.

DOS at the Fermi energy = 7.661 states/eV/f.u.
Energy of formation from the pure elements = 83 meV/atom
Uncorrected energy = -8.9410 eV per atom
Offset from the most stable computed form = 0.0 meV per atom

a = 3.598 Å, b = 3.598 Å, c = 10.337 Å
α = 90.00°, β = 90.00°, γ = 90.00°
Site moments in Bohr magnetons follow the coordinates.
Element x y z (fractional)
Ca  0.500  0.500  0.500  0.04
Gd  0.000  0.000  0.776  7.16
Gd  0.000  0.000  0.224  7.16
Ce  0.500  0.500  0.000  -0.37

(7)
AcLu3C: optimized geometry, PBE.

DOS at the Fermi energy = 5.734 states/eV/f.u.
Energy of formation from the pure elements = 24 meV/atom
Uncorrected energy = -5.3549 eV per atom

a = 5.018 Å, b = 5.018 Å, c = 5.018 Å
α = 90.00°, β = 90.00°, γ = 90.00°
Element x y z (fractional)
Ac  0.500  0.500  0.500
Lu  0.000  0.500  0.000
Lu  0.000  0.000  0.500
Lu  0.500  0.000  0.000
C  0.000  0.000  0.000

(8)
Na2HfU2S6: optimized geometry, PBE.

DOS at the Fermi energy = 7.334 states/eV/f.u.
Uncorrected energy = -6.8627 eV per atom

a = 6.653 Å, b = 6.653 Å, c = 7.194 Å
α = 98.89°, β = 98.89°, γ = 119.45°
Site moments in Bohr magnetons follow the coordinates.
Element x y z (fractional)
Na  0.832  0.168  0.000  0.00
Na  0.168  0.832  0.000  0.00
Hf  0.000  0.000  0.500  0.35
U  0.335  0.665  0.500  2.49
U  0.665  0.335  0.500  2.49
S  0.761  0.761  0.722  -0.04
S  0.072  0.391  0.720  -0.04
S  0.239  0.239  0.278  -0.04
S  0.391  0.072  0.720  -0.04
S  0.928  0.609  0.280  -0.04
S  0.609  0.928  0.280  -0.04

(9)
LaDyRuPt: optimized geometry, PBE.

DOS at the Fermi energy = 3.338 states/eV/f.u.
Energy of formation from the pure elements = -647 meV/atom
Uncorrected energy = -6.8581 eV per atom

a = 4.994 Å, b = 4.994 Å, c = 4.994 Å
α = 60.00°, β = 60.00°, γ = 60.00°
Element x y z (fractional)
Ru  0.250  0.250  0.250
La  0.000  0.000  0.000
Pt  0.750  0.750  0.750
Dy  0.500  0.500  0.500

(10)
CeNd12Er3: optimized geometry, PBE.

DOS at the Fermi energy = 27.881 states/eV/f.u.
Energy of formation from the pure elements = 31 meV/atom
Uncorrected energy = -4.7710 eV per atom

a = 5.150 Å, b = 5.150 Å, c = 20.567 Å
α = 90.00°, β = 90.00°, γ = 90.00°
Site moments in Bohr magnetons follow the coordinates.
Element x y z (fractional)
Ce  0.000  0.000  0.000  0.79
Nd  0.500  0.500  0.000  0.02
Nd  0.500  0.500  0.252  0.00
Nd  0.500  0.500  0.500  0.00
Nd  0.500  0.500  0.748  0.00
Nd  0.500  0.000  0.125  0.01
Nd  0.500  0.000  0.375  0.00
Nd  0.500  0.000  0.625  0.00
Nd  0.500  0.000  0.875  0.01
Nd  0.000  0.500  0.125  0.01
Nd  0.000  0.500  0.375  0.00
Nd  0.000  0.500  0.625  0.00
Nd  0.000  0.500  0.875  0.01
Er  0.000  0.000  0.250  -0.01
Er  0.000  0.000  0.500  -0.01
Er  0.000  0.000  0.750  -0.01

(11)
FeHgAs2: optimized geometry, PBE.

DOS at the Fermi energy = 2.461 states/eV/f.u.
Energy of formation from the pure elements = 42 meV/atom
Uncorrected energy = -4.4740 eV per atom

a = 10.358 Å, b = 10.358 Å, c = 10.358 Å
α = 16.69°, β = 16.69°, γ = 16.69°
Site moments in Bohr magnetons follow the coordinates.
Element x y z (fractional)
As  0.973  0.973  0.973  -0.04
As  0.527  0.527  0.527  -0.04
Fe  0.250  0.250  0.250  1.62
Hg  0.750  0.750  0.750  0.00

(12)
SrAgCl2: optimized geometry, PBE.

DOS at the Fermi energy = 0.594 states/eV/f.u.
Uncorrected energy = -3.3298 eV per atom
Offset from the most stable computed form = 53.7 meV per atom

a = 3.572 Å, b = 3.572 Å, c = 10.913 Å
α = 90.00°, β = 90.00°, γ = 90.00°
Element x y z (fractional)
Sr  0.500  0.500  0.250
Ag  0.500  0.500  0.750
Cl  0.000  0.000  0.101
Cl  0.000  0.000  0.399